VASP calculation (GGA-PBE) on AgPdI2N after structural relaxation.

Geometry as CIF:
```
data_AgPdI2N
_space_group_name_H-M_alt 'P 4/m m m'
_space_group_IT_number 123
_space_group_name_Hall '-P 4 2'
_cell_length_a 5.753
_cell_length_b 5.753
_cell_length_c 3.775
_cell_angle_alpha 90.00
_cell_angle_beta 90.00
_cell_angle_gamma 90.00
loop_
_atom_site_label
_atom_site_fract_x
_atom_site_fract_y
_atom_site_fract_z
_atom_site_occupancy
Ag1 0.000 0.000 0.000 1
Pd1 0.500 0.500 0.500 1
I1 0.000 0.500 0.500 1
N1 0.500 0.500 0.000 1
```

## Properties
VASP energy	-3.2809	eV/atom
energy above the lowest structure with this stoichiometry	0.00	kcal/mol of atoms
V	124.9	Å³ per cell
uncorrected formation energy	0.613	eV per atom